Sr2ScUAs4 | PBE | relaxed

CIF file:
```
data_Sr2ScUAs4
_chemical_formula_sum 'Sr2 Sc1 U1 As4'
_space_group_name_H-M_alt 'P 1 2/m 1'
_space_group_IT_number 10
_cell_length_a 7.166
_cell_length_b 4.212
_cell_length_c 7.462
_cell_angle_alpha 90.00
_cell_angle_beta 108.76
_cell_angle_gamma 90.00
loop_
_space_group_symop_operation_xyz
'x,y,z'
'-x,-y,-z'
'-x,y,-z'
'x,-y,z'
loop_
_atom_site_label
_atom_site_fract_x
_atom_site_fract_y
_atom_site_fract_z
Sr1 0.000 0.000 0.000
Sr2 0.500 0.500 0.000
Sc1 0.000 0.500 0.500
U1 0.500 0.000 0.500
As1 0.239 0.000 0.710
As2 0.261 0.500 0.288
```

Computed properties:
Mass density = 5.90 Mg/m³
Energy relative to the elements = -1.09 eV per atom
Total moment = 1.000 Bohr magnetons per cell
N(E_F) = 0.61 states/eV/atom